Record 1
A relaxed structure of Pd13Pb9. Source: Alexandria via LeMat-Bulk, functional GGA-PBE.

Properties
calculated formation energy: -0.2496 eV/atom

Geometry as CIF:
```
data_Pd13Pb9
_symmetry_space_group_name_H-M 'C 1 2/c 1'
_symmetry_Int_Tables_number 15
_cell_length_a 16.010
_cell_length_b 9.253
_cell_length_c 14.177
_cell_angle_alpha 90.00
_cell_angle_beta 124.31
_cell_angle_gamma 90.00
loop_
_symmetry_equiv_pos_as_xyz
'x,y,z'
'-x,-y,-z'
'-x,y,-z+1/2'
'x,-y,z+1/2'
'x+1/2,y+1/2,z'
'-x+1/2,-y+1/2,-z'
'-x+1/2,y+1/2,-z+1/2'
'x+1/2,-y+1/2,z+1/2'
loop_
_atom_site_label
_atom_site_type_symbol
_atom_site_fract_x
_atom_site_fract_y
_atom_site_fract_z
Pd1 Pd 0.000 0.124 0.250
Pd2 Pd 0.018 0.383 0.126
Pd3 Pd 0.027 0.130 0.639
Pd4 Pd 0.119 0.119 0.500
Pd5 Pd 0.119 0.363 0.994
Pd6 Pd 0.221 0.378 0.868
Pd7 Pd 0.249 0.372 0.249
Pb1 Pb 0.000 0.376 0.750
Pb2 Pb 0.100 0.127 0.116
Pb3 Pb 0.128 0.379 0.618
Pb4 Pb 0.160 0.333 0.376
Pb5 Pb 0.166 0.089 0.887
```

Record 2
A relaxed structure of LaTb4Pm2Th. Source: Alexandria via LeMat-Bulk, functional GGA-PBE.

Properties
calculated formation energy: 0.0066 eV/atom

Geometry as CIF:
```
data_LaTb4Pm2Th
_symmetry_space_group_name_H-M 'P 1 2/m 1'
_symmetry_Int_Tables_number 10
_cell_length_a 6.286
_cell_length_b 3.626
_cell_length_c 11.613
_cell_angle_alpha 90.00
_cell_angle_beta 90.07
_cell_angle_gamma 90.00
loop_
_symmetry_equiv_pos_as_xyz
'x,y,z'
'-x,-y,-z'
'-x,y,-z'
'x,-y,z'
loop_
_atom_site_label
_atom_site_type_symbol
_atom_site_fract_x
_atom_site_fract_y
_atom_site_fract_z
La1 La 0.000 0.000 0.000
Tb1 Tb 0.171 0.500 0.253
Tb2 Tb 0.336 0.000 0.744
Pm1 Pm 0.000 0.000 0.500
Pm2 Pm 0.500 0.500 0.000
Th1 Th 0.500 0.500 0.500
```

Record 3
A relaxed structure of UNbVC3. Source: Alexandria via LeMat-Bulk, functional GGA-PBE.

Properties
calculated formation energy: -0.1182 eV/atom

Geometry as CIF:
```
data_UNbVC3
_symmetry_space_group_name_H-M 'P 1 21/m 1'
_symmetry_Int_Tables_number 11
_cell_length_a 6.816
_cell_length_b 3.125
_cell_length_c 7.759
_cell_angle_alpha 90.00
_cell_angle_beta 98.41
_cell_angle_gamma 90.00
loop_
_symmetry_equiv_pos_as_xyz
'x,y,z'
'-x,-y,-z'
'-x,y+1/2,-z'
'x,-y+1/2,z'
loop_
_atom_site_label
_atom_site_type_symbol
_atom_site_fract_x
_atom_site_fract_y
_atom_site_fract_z
U1 U 0.158 0.250 0.187
Nb1 Nb 0.356 0.750 0.870
V1 V 0.133 0.250 0.591
C1 C 0.122 0.250 0.864
C2 C 0.170 0.750 0.440
C3 C 0.414 0.750 0.149
```

Record 4
A relaxed structure of SmDy2MgAu4. Source: Alexandria via LeMat-Bulk, functional GGA-PBE.

Properties
calculated formation energy: -0.7895 eV/atom

Geometry as CIF:
```
data_SmDy2MgAu4
_symmetry_space_group_name_H-M 'R -3 m'
_symmetry_Int_Tables_number 166
_symmetry_space_group_name_Hall '-R 3 2"'
_cell_length_a 5.0225
_cell_length_b 5.0225
_cell_length_c 24.8248
_cell_angle_alpha 90.00
_cell_angle_beta 90.00
_cell_angle_gamma 120.00
loop_
_atom_site_label
_atom_site_type_symbol
_atom_site_fract_x
_atom_site_fract_y
_atom_site_fract_z
Sm1 Sm 0.0000 0.0000 0.0000
Dy1 Dy 0.0000 0.0000 0.2441
Mg1 Mg 0.0000 0.0000 0.5000
Au1 Au 0.0000 0.0000 0.1234
Au2 Au 0.0000 0.0000 0.3789
```

Record 5
A relaxed structure of BiH6BrN2. Source: Alexandria via LeMat-Bulk, functional GGA-PBE.

Geometry as CIF:
```
data_BiH6BrN2
_symmetry_space_group_name_H-M 'I m m a'
_symmetry_Int_Tables_number 74
_symmetry_space_group_name_Hall '-I 2b 2'
_cell_length_a 5.035
_cell_length_b 9.079
_cell_length_c 12.325
_cell_angle_alpha 90.00
_cell_angle_beta 90.00
_cell_angle_gamma 90.00
loop_
_atom_site_label
_atom_site_type_symbol
_atom_site_fract_x
_atom_site_fract_y
_atom_site_fract_z
Bi1 Bi 0.000 0.250 0.167
H1 H 0.000 0.081 0.758
H2 H 0.163 0.073 0.874
Br1 Br 0.000 0.250 0.562
N1 N 0.000 0.031 0.833
```

Record 6
A relaxed structure of K3Dy2CrS6. Source: Alexandria via LeMat-Bulk, functional GGA-PBE.

Properties
E_form (uncorrected): -1524 meV per atom

Geometry as CIF:
```
data_K3Dy2CrS6
_symmetry_space_group_name_H-M 'C 1 2/m 1'
_symmetry_Int_Tables_number 12
_cell_length_a 6.786
_cell_length_b 11.758
_cell_length_c 7.678
_cell_angle_alpha 90.00
_cell_angle_beta 107.27
_cell_angle_gamma 90.00
loop_
_symmetry_equiv_pos_as_xyz
'x,y,z'
'-x,-y,-z'
'-x,y,-z'
'x,-y,z'
'x+1/2,y+1/2,z'
'-x+1/2,-y+1/2,-z'
'-x+1/2,y+1/2,-z'
'x+1/2,-y+1/2,z'
loop_
_atom_site_label
_atom_site_type_symbol
_atom_site_fract_x
_atom_site_fract_y
_atom_site_fract_z
K1 K 0.000 0.000 0.000
K2 K 0.000 0.330 0.000
Dy1 Dy 0.000 0.166 0.500
Cr1 Cr 0.000 0.500 0.500
S1 S 0.219 0.346 0.694
S2 S 0.242 0.500 0.306
```

Number 1: electronic total energy -425.494 eV per cell. Number 2: electronic total energy -40.317 eV per cell. Number 3: electronic total energy -117.715 eV per cell. Number 4: electronic total energy -104.830 eV per cell. Number 5: electronic total energy -185.278 eV per cell. Number 6: electronic total energy -130.354 eV per cell.